(1)
A relaxed structure of Dy2CdHgPd4. Source: Alexandria via LeMat-Bulk, functional PBE.

Unit cell a=4.7873 b=4.7873 c=8.3277 alpha=73.30 beta=73.30 gamma=60.00
Fractional coordinates of all 8 atoms:
Dy 0.7513 0.7513 0.7460
Dy 0.2487 0.2487 0.2540
Cd 0.0000 0.0000 0.0000
Hg 0.5000 0.5000 0.5000
Pd 0.3726 0.3726 0.8823
Pd 0.8764 0.8764 0.3708
Pd 0.1236 0.1236 0.6292
Pd 0.6274 0.6274 0.1177

Summary:
- ρ (g cm⁻³) = 11.328
- total moment (μB per formula unit) = 0.00
- crystal system = trigonal
- formation enthalpy at 0 K (eV per atom) = -0.710


(2)
A relaxed structure of CsKRbCd. Source: Alexandria via LeMat-Bulk, functional PBE.

Unit cell a=7.1220 b=7.1220 c=7.1220 alpha=60.00 beta=60.00 gamma=60.00
Fractional coordinates of all 4 atoms:
Cs 0.5000 0.5000 0.5000
K 0.2500 0.2500 0.2500
Rb 0.0000 0.0000 0.0000
Cd 0.7500 0.7500 0.7500

Summary:
- ρ (g cm⁻³) = 2.405
- total moment (μB per formula unit) = 0.00
- crystal system = cubic
- formation enthalpy at 0 K (eV per atom) = 0.048


(3)
A relaxed structure of LaHoGa4. Source: Alexandria via LeMat-Bulk, functional PBE.

Unit cell a=4.2628 b=4.2628 c=8.5478 alpha=90.00 beta=90.00 gamma=120.00
Fractional coordinates of all 6 atoms:
La 0.0000 0.0000 0.5000
Ho 0.0000 0.0000 0.0000
Ga 0.3333 0.6667 0.2368
Ga 0.3333 0.6667 0.7632
Ga 0.6667 0.3333 0.2368
Ga 0.6667 0.3333 0.7632

Summary:
- ρ (g cm⁻³) = 7.194
- total moment (μB per formula unit) = 0.00
- crystal system = hexagonal
- formation enthalpy at 0 K (eV per atom) = -0.667


(4)
A relaxed structure of Ca2PrHo. Source: Alexandria via LeMat-Bulk, functional PBE.

Unit cell a=4.2363 b=5.8675 c=5.8675 alpha=90.00 beta=90.00 gamma=90.00
Fractional coordinates of all 4 atoms:
Pr 0.5000 0.0000 0.0000
Ca 0.0000 0.0000 0.5000
Ca 0.0000 0.5000 0.0000
Ho 0.5000 0.5000 0.5000

Summary:
- ρ (g cm⁻³) = 4.395
- total moment (μB per formula unit) = 0.00
- crystal system = tetragonal
- formation enthalpy at 0 K (eV per atom) = 0.152


(5)
A relaxed structure of Sr2AlPb. Source: Alexandria via LeMat-Bulk, functional PBE.

Unit cell a=3.9490 b=4.1752 c=7.9687 alpha=90.00 beta=90.00 gamma=90.00
Fractional coordinates of all 4 atoms:
Pb 0.5000 0.5000 0.7500
Sr 0.0000 0.0000 0.0095
Sr 0.0000 0.0000 0.4905
Al 0.5000 0.5000 0.2500

Summary:
- ρ (g cm⁻³) = 5.174
- total moment (μB per formula unit) = 0.00
- crystal system = orthorhombic
- formation enthalpy at 0 K (eV per atom) = -0.299